A plane-wave DFT calculation with GGA+U was carried out for a relaxed structure of Li4Co3Cu3W2O16.

For the energy, the calculation gives -6.000 eV/atom. For the total magnetic moment, the calculation gives 6.0 μB/f.u.

a = 5.8510 Å, b = 5.8905 Å, c = 9.7411 Å
α = 90.56°, β = 92.70°, γ = 118.52°
Last column: nearest neighbours and their distance in Å.
Space group P1 (No. 1)
Symmetry-distinct sites (fractional):
Li 0.0000 0.0000 0.0000 [1 per cell]  4 O 1.89-2.05
Li 0.0097 0.9984 0.5032 [1 per cell]  4 O 1.88-2.04
Li 0.3498 0.6872 0.0740 [1 per cell]  4 O 1.95-2.10
Li 0.6906 0.3235 0.5801 [1 per cell]  4 O 1.95-2.12
Co 0.6634 0.8282 0.7735 [1 per cell]  6 O 1.89-2.02
Co 0.8422 0.1686 0.2706 [1 per cell]  5 O 1.97-2.15
Co 0.8537 0.6651 0.2746 [1 per cell]  4 O 1.86-1.97
Cu 0.1638 0.8203 0.7730 [1 per cell]  3 O 1.89-2.10
Cu 0.1787 0.3326 0.7741 [1 per cell]  4 O 1.86-1.89
Cu 0.3539 0.1795 0.2730 [1 per cell]  4 O 1.86-1.91
W 0.3620 0.6577 0.5018 [1 per cell]  6 O 1.90-2.05
W 0.6781 0.3523 0.0001 [1 per cell]  6 O 1.90-2.07
O 0.0182 0.9866 0.1937 [1 per cell]  1 Cu 1.86, 2 Co 1.87-1.97, 1 Li 1.89
O 0.0611 0.4574 0.6257 [1 per cell]  1 Cu 1.87, 1 Li 1.95, 1 W 2.05
O 0.1438 0.7785 0.4150 [1 per cell]  1 W 1.91, 1 Co 1.97, 1 Li 2.01
O 0.2135 0.3240 0.3995 [1 per cell]  1 Cu 1.91, 1 W 1.97, 1 Li 2.02
O 0.3307 0.2154 0.9124 [1 per cell]  1 Cu 1.89, 1 W 1.94, 1 Li 1.98
O 0.3440 0.6607 0.8589 [1 per cell]  2 Cu 1.86-1.89, 1 Co 1.89
O 0.4852 0.9507 0.6448 [1 per cell]  1 Co 1.95, 1 W 2.03, 1 Li 2.06, 1 Cu 2.13
O 0.5006 0.0608 0.1375 [1 per cell]  1 Cu 1.91, 1 Li 2.02, 1 W 2.07
O 0.5583 0.5602 0.6347 [1 per cell]  1 Co 1.91, 1 W 1.96, 1 Li 1.97
O 0.5837 0.5510 0.1318 [1 per cell]  1 Co 1.91, 1 Li 1.95, 1 W 1.99
O 0.6570 0.8384 0.3968 [1 per cell]  1 W 1.90, 1 Li 2.04
O 0.6824 0.3552 0.3635 [1 per cell]  2 Co 1.86-1.99, 1 Cu 1.86
O 0.7685 0.1251 0.9051 [1 per cell]  1 W 1.90, 1 Co 1.98, 1 Li 2.02
O 0.8310 0.6572 0.8881 [1 per cell]  1 W 1.95, 1 Co 2.02, 1 Li 2.05, 1 Cu 2.10
O 0.9840 0.4732 0.1265 [1 per cell]  1 W 1.95, 1 Li 1.99, 1 Co 2.15
O 0.9964 0.9990 0.6960 [1 per cell]  2 Cu 1.86-1.89, 1 Li 1.88, 1 Co 1.91